# Zr3SiGe2 (GGA-PBE, optimized geometry)
data_Zr3SiGe2
_chemical_formula_sum 'Zr12 Si4 Ge8'
_cell_length_a 11.0693
_cell_length_b 3.8827
_cell_length_c 10.5564
_cell_angle_alpha 90.00
_cell_angle_beta 90.00
_cell_angle_gamma 90.00
_symmetry_space_group_name_H-M 'P n m a'
_symmetry_Int_Tables_number 62
_symmetry_space_group_name_Hall '-P 2ac 2n'
loop_
_atom_site_label
_atom_site_type_symbol
_atom_site_fract_x
_atom_site_fract_y
_atom_site_fract_z
Zr1 Zr 0.0455 0.2500 0.1201
Zr2 Zr 0.1178 0.7500 0.5599
Zr3 Zr 0.2239 0.2500 0.7876
Si1 Si 0.1260 0.2500 0.3739
Ge1 Ge 0.0066 0.7500 0.3002
Ge2 Ge 0.1883 0.7500 0.0064
# - raw formation energy (eV per formula unit) = -4.29
# - uncorrected energy (eV per cell) = -178.36



# ZrSi3Ge (GGA-PBE, optimized geometry)
data_ZrSi3Ge
_chemical_formula_sum 'Zr1 Si3 Ge1'
_cell_length_a 5.0658
_cell_length_b 5.0658
_cell_length_c 5.0658
_cell_angle_alpha 90.00
_cell_angle_beta 90.00
_cell_angle_gamma 90.00
_symmetry_space_group_name_H-M 'P m -3 m'
_symmetry_Int_Tables_number 221
_symmetry_space_group_name_Hall '-P 4 2 3'
loop_
_atom_site_label
_atom_site_type_symbol
_atom_site_fract_x
_atom_site_fract_y
_atom_site_fract_z
Zr1 Zr 0.0000 0.0000 0.0000
Si1 Si 0.0000 0.0000 0.5000
Ge1 Ge 0.5000 0.5000 0.5000
# - energy above the lowest structure with this stoichiometry (meV per atom) = 48.4
# - raw formation energy (eV per formula unit) = 4.75
# - uncorrected energy (eV per cell) = -24.68



# ZrSi3Ge (GGA-PBE, optimized geometry)
data_ZrSi3Ge
_chemical_formula_sum 'Zr1 Si3 Ge1'
_cell_length_a 4.6878
_cell_length_b 4.6878
_cell_length_c 4.6878
_cell_angle_alpha 90.00
_cell_angle_beta 90.00
_cell_angle_gamma 90.00
_symmetry_space_group_name_H-M 'P m -3 m'
_symmetry_Int_Tables_number 221
_symmetry_space_group_name_Hall '-P 4 2 3'
loop_
_atom_site_label
_atom_site_type_symbol
_atom_site_fract_x
_atom_site_fract_y
_atom_site_fract_z
Zr1 Zr 0.0000 0.0000 0.0000
Si1 Si 0.0000 0.5000 0.5000
Ge1 Ge 0.5000 0.5000 0.5000
# - energy above the lowest structure with this stoichiometry (meV per atom) = 0.0
# - raw formation energy (eV per formula unit) = 4.51
# - uncorrected energy (eV per cell) = -24.93



# Zr3SiGe (GGA-PBE, optimized geometry)
data_Zr3SiGe
_chemical_formula_sum 'Zr3 Si1 Ge1'
_cell_length_a 4.9018
_cell_length_b 4.9018
_cell_length_c 4.9018
_cell_angle_alpha 90.00
_cell_angle_beta 90.00
_cell_angle_gamma 90.00
_symmetry_space_group_name_H-M 'P m -3 m'
_symmetry_Int_Tables_number 221
_symmetry_space_group_name_Hall '-P 4 2 3'
loop_
_atom_site_label
_atom_site_type_symbol
_atom_site_fract_x
_atom_site_fract_y
_atom_site_fract_z
Zr1 Zr 0.0000 0.0000 0.5000
Si1 Si 0.0000 0.0000 0.0000
Ge1 Ge 0.5000 0.5000 0.5000
# - energy above the lowest structure with this stoichiometry (meV per atom) = 0.0
# - raw formation energy (eV per formula unit) = 0.54
# - uncorrected energy (eV per cell) = -35.15



# ZrSiGe3 (GGA-PBE, optimized geometry)
data_ZrSiGe3
_chemical_formula_sum 'Zr1 Si1 Ge3'
_cell_length_a 5.1694
_cell_length_b 5.1694
_cell_length_c 5.1694
_cell_angle_alpha 90.00
_cell_angle_beta 90.00
_cell_angle_gamma 90.00
_symmetry_space_group_name_H-M 'P m -3 m'
_symmetry_Int_Tables_number 221
_symmetry_space_group_name_Hall '-P 4 2 3'
loop_
_atom_site_label
_atom_site_type_symbol
_atom_site_fract_x
_atom_site_fract_y
_atom_site_fract_z
Zr1 Zr 0.0000 0.0000 0.0000
Si1 Si 0.5000 0.5000 0.5000
Ge1 Ge 0.0000 0.0000 0.5000
# - energy above the lowest structure with this stoichiometry (meV per atom) = 232.1
# - raw formation energy (eV per formula unit) = 4.19
# - uncorrected energy (eV per cell) = -23.63



# Zr2Si2Ge (GGA-PBE, optimized geometry)
data_Zr2Si2Ge
_chemical_formula_sum 'Zr4 Si4 Ge2'
_cell_length_a 3.5026
_cell_length_b 3.5026
_cell_length_c 15.1013
_cell_angle_alpha 90.00
_cell_angle_beta 90.00
_cell_angle_gamma 90.00
_symmetry_space_group_name_H-M 'I 4/m m m'
_symmetry_Int_Tables_number 139
_symmetry_space_group_name_Hall '-I 4 2'
loop_
_atom_site_label
_atom_site_type_symbol
_atom_site_fract_x
_atom_site_fract_y
_atom_site_fract_z
Zr1 Zr 0.0000 0.0000 0.1066
Si1 Si 0.0000 0.5000 0.2500
Ge1 Ge 0.0000 0.0000 0.5000
# - energy above the lowest structure with this stoichiometry (meV per atom) = 0.0
# - raw formation energy (eV per formula unit) = -2.74
# - uncorrected energy (eV per cell) = -70.60



# Sm4Ge7 (GGA-PBE, optimized geometry)
data_Sm4Ge7
_chemical_formula_sum 'Sm16 Ge28'
_cell_length_a 5.9704
_cell_length_b 13.8901
_cell_length_c 11.9582
_cell_angle_alpha 90.00
_cell_angle_beta 90.00
_cell_angle_gamma 90.00
_symmetry_space_group_name_H-M 'C 2 2 21'
_symmetry_Int_Tables_number 20
_symmetry_space_group_name_Hall 'C 2c 2'
loop_
_atom_site_label
_atom_site_type_symbol
_atom_site_fract_x
_atom_site_fract_y
_atom_site_fract_z
Sm1 Sm 0.0000 0.0047 0.2500
Sm2 Sm 0.0143 0.5000 0.0000
Sm3 Sm 0.2373 0.2551 0.6198
Ge1 Ge 0.0000 0.4415 0.7500
Ge2 Ge 0.0191 0.0891 0.9891
Ge3 Ge 0.1690 0.3543 0.3353
Ge4 Ge 0.2457 0.3272 0.8711
# - energy of formation from the pure elements (eV per atom) = -0.722
# - uncorrected energy (eV per cell) = -236.57



# Sm3Ge (GGA-PBE, optimized geometry)
data_Sm3Ge
_chemical_formula_sum 'Sm6 Ge2'
_cell_length_a 4.0020
_cell_length_b 5.1178
_cell_length_c 11.3068
_cell_angle_alpha 90.00
_cell_angle_beta 90.00
_cell_angle_gamma 90.00
_symmetry_space_group_name_H-M 'I m m m'
_symmetry_Int_Tables_number 71
_symmetry_space_group_name_Hall '-I 2 2'
loop_
_atom_site_label
_atom_site_type_symbol
_atom_site_fract_x
_atom_site_fract_y
_atom_site_fract_z
Sm1 Sm 0.0000 0.0000 0.0000
Sm2 Sm 0.0000 0.5000 0.2050
Ge1 Ge 0.0000 0.0000 0.5000
# - energy of formation from the pure elements (eV per atom) = -0.353
# - uncorrected energy (eV per cell) = -40.37



# SmGe4 (GGA-PBE, optimized geometry)
data_SmGe4
_chemical_formula_sum 'Sm1 Ge4'
_cell_length_a 5.4229
_cell_length_b 5.4229
_cell_length_c 5.4229
_cell_angle_alpha 90.00
_cell_angle_beta 90.00
_cell_angle_gamma 90.00
_symmetry_space_group_name_H-M 'P m -3 m'
_symmetry_Int_Tables_number 221
_symmetry_space_group_name_Hall '-P 4 2 3'
loop_
_atom_site_label
_atom_site_type_symbol
_atom_site_fract_x
_atom_site_fract_y
_atom_site_fract_z
Sm1 Sm 0.0000 0.0000 0.0000
Ge1 Ge 0.0000 0.0000 0.5000
Ge2 Ge 0.5000 0.5000 0.5000
# - energy of formation from the pure elements (eV per atom) = 0.933
# - uncorrected energy (eV per cell) = -18.52



# SmGe (GGA-PBE, optimized geometry)
data_SmGe
_chemical_formula_sum 'Sm8 Ge8'
_cell_length_a 4.2151
_cell_length_b 4.2151
_cell_length_c 22.0667
_cell_angle_alpha 90.00
_cell_angle_beta 90.00
_cell_angle_gamma 90.00
_symmetry_space_group_name_H-M 'I 41/a m d'
_symmetry_Int_Tables_number 141
loop_
_symmetry_equiv_pos_as_xyz
'x,y,z'
'-x,-y,-z'
'-y+1/4,x+3/4,z+1/4'
'y+1/4,-x+3/4,-z+1/4'
'-x+1/2,-y,z+1/2'
'x+1/2,y,-z+1/2'
'y+1/4,-x+1/4,z+3/4'
'-y+1/4,x+1/4,-z+3/4'
'x,-y,-z'
'-x,y,z'
'-y+1/4,-x+1/4,-z+3/4'
'y+1/4,x+1/4,z+3/4'
'-x+1/2,y,-z+1/2'
'x+1/2,-y,z+1/2'
'y+1/4,x+3/4,-z+1/4'
'-y+1/4,-x+3/4,z+1/4'
'x+1/2,y+1/2,z+1/2'
'-x+1/2,-y+1/2,-z+1/2'
'-y+3/4,x+1/4,z+3/4'
'y+3/4,-x+1/4,-z+3/4'
'-x,-y+1/2,z'
'x,y+1/2,-z'
'y+3/4,-x+3/4,z+1/4'
'-y+3/4,x+3/4,-z+1/4'
'x+1/2,-y+1/2,-z+1/2'
'-x+1/2,y+1/2,z+1/2'
'-y+3/4,-x+3/4,-z+1/4'
'y+3/4,x+3/4,z+1/4'
'-x,y+1/2,-z'
'x,-y+1/2,z'
'y+3/4,x+1/4,-z+3/4'
'-y+3/4,-x+1/4,z+3/4'
loop_
_atom_site_label
_atom_site_type_symbol
_atom_site_fract_x
_atom_site_fract_y
_atom_site_fract_z
Sm1 Sm 0.0000 0.2500 0.0690
Ge1 Ge 0.0000 0.2500 0.2083
# - energy of formation from the pure elements (eV per atom) = -0.843
# - uncorrected energy (eV per cell) = -88.18



# Sm5Ge (GGA-PBE, optimized geometry)
data_Sm5Ge
_chemical_formula_sum 'Sm10 Ge2'
_cell_length_a 4.7689
_cell_length_b 15.2350
_cell_length_c 4.8579
_cell_angle_alpha 90.00
_cell_angle_beta 90.00
_cell_angle_gamma 90.00
_symmetry_space_group_name_H-M 'C m m m'
_symmetry_Int_Tables_number 65
_symmetry_space_group_name_Hall '-C 2 2'
loop_
_atom_site_label
_atom_site_type_symbol
_atom_site_fract_x
_atom_site_fract_y
_atom_site_fract_z
Sm1 Sm 0.0000 0.0000 0.0000
Sm2 Sm 0.0000 0.1564 0.5000
Sm3 Sm 0.0000 0.3391 0.0000
Ge1 Ge 0.0000 0.5000 0.5000
# - energy of formation from the pure elements (eV per atom) = -0.180
# - uncorrected energy (eV per cell) = -58.58



# Sm2Ge3 (GGA-PBE, optimized geometry)
data_Sm2Ge3
_chemical_formula_sum 'Sm4 Ge6'
_cell_length_a 4.1685
_cell_length_b 6.4115
_cell_length_c 8.6370
_cell_angle_alpha 90.00
_cell_angle_beta 90.00
_cell_angle_gamma 90.00
_symmetry_space_group_name_H-M 'I m m m'
_symmetry_Int_Tables_number 71
_symmetry_space_group_name_Hall '-I 2 2'
loop_
_atom_site_label
_atom_site_type_symbol
_atom_site_fract_x
_atom_site_fract_y
_atom_site_fract_z
Sm1 Sm 0.0000 0.0000 0.2244
Ge1 Ge 0.0000 0.2998 0.5000
Ge2 Ge 0.0000 0.5000 0.0000
# - energy of formation from the pure elements (eV per atom) = -0.748
# - energy above the lowest structure with this stoichiometry (meV per atom) = 0.0
# - uncorrected energy (eV per cell) = -54.06



# Sm3Ge (GGA-PBE, optimized geometry)
data_Sm3Ge
_chemical_formula_sum 'Sm3 Ge1'
_cell_length_a 3.4617
_cell_length_b 3.9803
_cell_length_c 9.2256
_cell_angle_alpha 90.00
_cell_angle_beta 90.00
_cell_angle_gamma 90.00
_symmetry_space_group_name_H-M 'P m m 2'
_symmetry_Int_Tables_number 25
_symmetry_space_group_name_Hall 'P 2 -2'
loop_
_atom_site_label
_atom_site_type_symbol
_atom_site_fract_x
_atom_site_fract_y
_atom_site_fract_z
Sm1 Sm 0.0000 0.0000 0.0000
Sm2 Sm 0.0000 0.5000 0.3266
Sm3 Sm 0.5000 0.5000 0.7215
Ge1 Ge 0.5000 0.0000 0.4799
# - energy of formation from the pure elements (eV per atom) = -0.093
# - uncorrected energy (eV per cell) = -19.15



# Sm3Ge (GGA-PBE, optimized geometry)
data_Sm3Ge
_chemical_formula_sum 'Sm24 Ge8'
_cell_length_a 12.3202
_cell_length_b 12.3202
_cell_length_c 6.0870
_cell_angle_alpha 90.00
_cell_angle_beta 90.00
_cell_angle_gamma 90.00
_symmetry_space_group_name_H-M 'P 42/n'
_symmetry_Int_Tables_number 86
loop_
_symmetry_equiv_pos_as_xyz
'x,y,z'
'-x,-y,-z'
'-y,x+1/2,z+1/2'
'y,-x+1/2,-z+1/2'
'-x+1/2,-y+1/2,z'
'x+1/2,y+1/2,-z'
'y+1/2,-x,z+1/2'
'-y+1/2,x,-z+1/2'
loop_
_atom_site_label
_atom_site_type_symbol
_atom_site_fract_x
_atom_site_fract_y
_atom_site_fract_z
Sm1 Sm 0.0309 0.5726 0.2390
Sm2 Sm 0.1122 0.2189 0.0193
Sm3 Sm 0.1370 0.6667 0.7278
Ge1 Ge 0.0481 0.2087 0.5277
# - energy of formation from the pure elements (eV per atom) = -0.455
# - uncorrected energy (eV per cell) = -164.75



# Sm2Ge (GGA-PBE, optimized geometry)
data_Sm2Ge
_chemical_formula_sum 'Sm4 Ge2'
_cell_length_a 3.9696
_cell_length_b 3.9696
_cell_length_c 9.7268
_cell_angle_alpha 90.00
_cell_angle_beta 90.00
_cell_angle_gamma 90.00
_symmetry_space_group_name_H-M 'I 4/m m m'
_symmetry_Int_Tables_number 139
_symmetry_space_group_name_Hall '-I 4 2'
loop_
_atom_site_label
_atom_site_type_symbol
_atom_site_fract_x
_atom_site_fract_y
_atom_site_fract_z
Sm1 Sm 0.0000 0.0000 0.1502
Ge1 Ge 0.0000 0.0000 0.5000
# - energy of formation from the pure elements (eV per atom) = -0.434
# - uncorrected energy (eV per cell) = -30.72



# Sm5Ge2 (GGA-PBE, optimized geometry)
data_Sm5Ge2
_chemical_formula_sum 'Sm20 Ge8'
_cell_length_a 16.0357
_cell_length_b 6.4870
_cell_length_c 7.9552
_cell_angle_alpha 90.00
_cell_angle_beta 97.73
_cell_angle_gamma 90.00
_symmetry_space_group_name_H-M 'C 1 2/c 1'
_symmetry_Int_Tables_number 15
_symmetry_space_group_name_Hall '-C 2yc'
loop_
_atom_site_label
_atom_site_type_symbol
_atom_site_fract_x
_atom_site_fract_y
_atom_site_fract_z
Sm1 Sm 0.0000 0.1119 0.2500
Sm2 Sm 0.0939 0.3821 0.9257
Sm3 Sm 0.2217 0.1014 0.3078
Ge1 Ge 0.1056 0.1878 0.5833
# - energy of formation from the pure elements (eV per atom) = -0.517
# - uncorrected energy (eV per cell) = -145.81



# Sm3Ge5 (GGA-PBE, optimized geometry)
data_Sm3Ge5
_chemical_formula_sum 'Sm6 Ge10'
_cell_length_a 7.0098
_cell_length_b 7.0098
_cell_length_c 8.5607
_cell_angle_alpha 90.00
_cell_angle_beta 90.00
_cell_angle_gamma 120.00
_symmetry_space_group_name_H-M 'P -6 2 c'
_symmetry_Int_Tables_number 190
_symmetry_space_group_name_Hall 'P -6c -2c'
loop_
_atom_site_label
_atom_site_type_symbol
_atom_site_fract_x
_atom_site_fract_y
_atom_site_fract_z
Sm1 Sm 0.0000 0.3319 0.0000
Ge1 Ge 0.0000 0.0000 0.2500
Ge2 Ge 0.0679 0.6698 0.2500
Ge3 Ge 0.3333 0.6667 0.7500
# - energy of formation from the pure elements (eV per atom) = -0.747
# - energy above the lowest structure with this stoichiometry (meV per atom) = 0.0
# - uncorrected energy (eV per cell) = -86.44



# SmGe (GGA-PBE, optimized geometry)
data_SmGe
_chemical_formula_sum 'Sm8 Ge8'
_cell_length_a 4.4058
_cell_length_b 13.4541
_cell_length_c 6.5893
_cell_angle_alpha 90.00
_cell_angle_beta 90.00
_cell_angle_gamma 90.00
_symmetry_space_group_name_H-M 'C m c m'
_symmetry_Int_Tables_number 63
_symmetry_space_group_name_Hall '-C 2c 2'
loop_
_atom_site_label
_atom_site_type_symbol
_atom_site_fract_x
_atom_site_fract_y
_atom_site_fract_z
Sm1 Sm 0.0000 0.0470 0.2500
Sm2 Sm 0.0000 0.2245 0.7500
Ge1 Ge 0.0000 0.3985 0.0500
# - energy of formation from the pure elements (eV per atom) = -0.856
# - uncorrected energy (eV per cell) = -88.39



# Sm4Ge3 (GGA-PBE, optimized geometry)
data_Sm4Ge3
_chemical_formula_sum 'Sm16 Ge12'
_cell_length_a 9.0589
_cell_length_b 9.0589
_cell_length_c 9.0589
_cell_angle_alpha 90.00
_cell_angle_beta 90.00
_cell_angle_gamma 90.00
_symmetry_space_group_name_H-M 'I -4 3 d'
_symmetry_Int_Tables_number 220
_symmetry_space_group_name_Hall 'I -4bd 2c 3'
loop_
_atom_site_label
_atom_site_type_symbol
_atom_site_fract_x
_atom_site_fract_y
_atom_site_fract_z
Sm1 Sm 0.0652 0.4348 0.5652
Ge1 Ge 0.0000 0.2500 0.8750
# - energy of formation from the pure elements (eV per atom) = -0.837
# - uncorrected energy (eV per cell) = -154.36



# Sm2Ge (GGA-PBE, optimized geometry)
data_Sm2Ge
_chemical_formula_sum 'Sm8 Ge4'
_cell_length_a 4.2258
_cell_length_b 6.3537
_cell_length_c 12.6087
_cell_angle_alpha 90.00
_cell_angle_beta 90.00
_cell_angle_gamma 90.00
_symmetry_space_group_name_H-M 'I m m m'
_symmetry_Int_Tables_number 71
_symmetry_space_group_name_Hall '-I 2 2'
loop_
_atom_site_label
_atom_site_type_symbol
_atom_site_fract_x
_atom_site_fract_y
_atom_site_fract_z
Sm1 Sm 0.0000 0.0000 0.1969
Sm2 Sm 0.0000 0.2299 0.5000
Ge1 Ge 0.0000 0.5000 0.1420
# - energy of formation from the pure elements (eV per atom) = -0.556
# - uncorrected energy (eV per cell) = -62.90



| no. | magnetic moment (μB/f.u.) |
| --- | --- |
| 1 | 0.0 |
| 2 | 0.0 |
| 3 | 0.0 |
| 4 | 0.0 |
| 5 | 0.0 |
| 6 | 0.0 |
| 7 | 0.0 |
| 8 | 0.0 |
| 9 | 0.0 |
| 10 | 0.0 |
| 11 | 0.0 |
| 12 | 0.0 |
| 13 | 0.0 |
| 14 | 0.0 |
| 15 | 0.0 |
| 16 | 0.3 |
| 17 | 0.0 |
| 18 | 0.0 |
| 19 | 0.0 |
| 20 | 0.0 |